The following is a DFT calculation (PBE) of Pa2BeCo4 after structural relaxation.

Calculated density = 11387 kg/m3
E = -7.529 eV per atom
Calculated volume = 14.72 Å³ per atom

Unit cell a=3.9344 b=3.9344 c=7.2165 alpha=105.82 beta=105.82 gamma=90.00
With the nearest neighbours (Å) after each atom.
Sites, in units of the cell vectors:
Pa 0.6542 0.6542 0.3084  9 Co 2.59-2.84
Pa 0.3458 0.3458 0.6916  9 Co 2.59-2.84
Be 0.0000 0.0000 0.0000  6 Co 1.97-2.02
Co 0.0000 0.5000 0.0000  2 Be 1.97
Co 0.5000 0.0000 0.0000  2 Be 1.97
Co 0.8484 0.8484 0.6967  1 Be 2.02
Co 0.1516 0.1516 0.3033  1 Be 2.02


The following is a DFT calculation (PBE) of PaBeCo3 after structural relaxation.

Calculated density = 10784 kg/m3
E = -7.153 eV per atom
Calculated volume = 12.84 Å³ per atom

Unit cell a=4.0040 b=4.0040 c=4.0040 alpha=90.00 beta=90.00 gamma=90.00
With the nearest neighbours (Å) after each atom.
Sites, in units of the cell vectors:
Be 0.0000 0.0000 0.0000  6 Co 2.00
Pa 0.5000 0.5000 0.5000  12 Co 2.83
Co 0.0000 0.5000 0.0000  2 Be 2.00
Co 0.0000 0.0000 0.5000  2 Be 2.00
Co 0.5000 0.0000 0.0000  2 Be 2.00


The following is a DFT calculation (PBE) of PaBeCoRh after structural relaxation.

Calculated density = 10598 kg/m3
E = -7.125 eV per atom
Calculated volume = 15.74 Å³ per atom

Unit cell a=4.4656 b=4.4656 c=4.4656 alpha=60.00 beta=60.00 gamma=60.00
With the nearest neighbours (Å) after each atom.
Sites, in units of the cell vectors:
Co 0.5000 0.5000 0.5000  4 Be 2.73, 4 Pa 2.73
Pa 0.7500 0.7500 0.7500  4 Rh 2.73, 4 Co 2.73
Rh 0.0000 0.0000 0.0000  4 Pa 2.73, 4 Be 2.73
Be 0.2500 0.2500 0.2500  4 Co 2.73, 4 Rh 2.73


The following is a DFT calculation (PBE) of PaBeCoRu after structural relaxation.

Calculated density = 10816 kg/m3
E = -7.547 eV per atom
Calculated volume = 15.35 Å³ per atom

Unit cell a=4.4287 b=4.4287 c=4.4287 alpha=60.00 beta=60.00 gamma=60.00
With the nearest neighbours (Å) after each atom.
Sites, in units of the cell vectors:
Ru 0.7500 0.7500 0.7500  4 Be 2.71, 4 Pa 2.71
Pa 0.5000 0.5000 0.5000  4 Co 2.71, 4 Ru 2.71
Co 0.2500 0.2500 0.2500  4 Pa 2.71, 4 Be 2.71
Be 0.0000 0.0000 0.0000  4 Co 2.71, 4 Ru 2.71


The following is a DFT calculation (PBE) of PaBeCo3Si after structural relaxation.

ΔE_f (raw) = -0.174 eV/atom
Calculated density = 8935 kg/m3
Calculated volume = 13.78 Å³ per atom

Unit cell a=5.1613 b=5.8272 c=6.2230 alpha=117.92 beta=90.00 gamma=90.00
With the nearest neighbours (Å) after each atom.
Sites, in units of the cell vectors:
Pa 0.7500 0.2967 0.5935  2 Be 2.71, 1 Si 2.82, 8 Co 2.83-2.94
Pa 0.2500 0.7033 0.4065  2 Be 2.71, 1 Si 2.82, 8 Co 2.83-2.94
Be 0.2500 0.3714 0.7428  5 Co 2.21-2.24
Be 0.7500 0.6286 0.2572  5 Co 2.21-2.24
Co 0.2500 0.1701 0.3402  1 Be 2.21, 1 Si 2.32
Co 0.0000 0.3006 0.0000  2 Si 2.22, 2 Be 2.24, 1 Co 2.32
Co 0.5000 0.6994 0.0000  2 Si 2.22, 2 Be 2.24, 1 Co 2.32
Co 0.5000 0.3006 0.0000  2 Si 2.22, 2 Be 2.24, 1 Co 2.32
Co 0.0000 0.6994 0.0000  2 Si 2.22, 2 Be 2.24, 1 Co 2.32
Co 0.7500 0.8299 0.6598  1 Be 2.21, 1 Si 2.32
Si 0.2500 0.9593 0.9186  5 Co 2.22-2.32
Si 0.7500 0.0407 0.0814  5 Co 2.22-2.32


The following is a DFT calculation (PBE) of Pa2BeCo4Si3 after structural relaxation.

ΔE_f (raw) = -0.676 eV/atom
Calculated density = 9223 kg/m3
Calculated volume = 14.24 Å³ per atom

Unit cell a=3.8526 b=3.8526 c=9.5961 alpha=90.00 beta=90.00 gamma=90.00
With the nearest neighbours (Å) after each atom.
Sites, in units of the cell vectors:
Pa 0.5000 0.0000 0.2573  8 Co 2.93-3.13, 6 Si 2.99-3.02, 2 Be 3.02
Pa 0.0000 0.5000 0.7427  8 Co 2.93-3.13, 6 Si 2.99-3.02, 2 Be 3.02
Be 0.5000 0.5000 0.5000  4 Co 2.30
Co 0.5000 0.5000 0.0000  4 Si 2.29
Co 0.0000 0.0000 0.0000  4 Si 2.29
Co 0.5000 0.0000 0.6313  3 Si 2.30, 2 Be 2.30
Co 0.0000 0.5000 0.3687  3 Si 2.30, 2 Be 2.30
Si 0.0000 0.0000 0.5000  4 Co 2.30
Si 0.5000 0.0000 0.8707  5 Co 2.29-2.30
Si 0.0000 0.5000 0.1293  5 Co 2.29-2.30


The following is a DFT calculation (PBE) of Pa2Be4CoSi3 after structural relaxation.

ΔE_f (raw) = -0.379 eV/atom
Calculated density = 7652 kg/m3
Calculated volume = 13.92 Å³ per atom

Unit cell a=3.8844 b=3.8844 c=9.2231 alpha=90.00 beta=90.00 gamma=90.00
With the nearest neighbours (Å) after each atom.
Sites, in units of the cell vectors:
Pa 0.5000 0.0000 0.2590  2 Co 2.95, 6 Si 2.95-2.98, 8 Be 2.96-3.08
Pa 0.0000 0.5000 0.7410  2 Co 2.95, 6 Si 2.95-2.98, 8 Be 2.96-3.08
Be 0.5000 0.5000 0.0000  4 Si 2.30
Be 0.0000 0.0000 0.0000  4 Si 2.30
Be 0.5000 0.0000 0.6213  2 Co 2.24, 3 Si 2.24-2.25
Be 0.0000 0.5000 0.3787  2 Co 2.24, 3 Si 2.24-2.25
Co 0.5000 0.5000 0.5000  4 Be 2.24
Si 0.0000 0.0000 0.5000  4 Be 2.24
Si 0.5000 0.0000 0.8656  5 Be 2.25-2.30
Si 0.0000 0.5000 0.1344  5 Be 2.25-2.30


The following is a DFT calculation (PBE) of PaBe2Co4Si after structural relaxation.

ΔE_f (raw) = -0.425 eV/atom
Calculated density = 9063 kg/m3
Calculated volume = 11.75 Å³ per atom

Unit cell a=3.7388 b=3.7388 c=8.0570 alpha=76.58 beta=76.58 gamma=60.00
With the nearest neighbours (Å) after each atom.
Sites, in units of the cell vectors:
Pa 0.0000 0.0000 0.0000  6 Co 2.67
Be 0.7670 0.7670 0.6990  7 Co 2.28-2.36
Be 0.2330 0.2330 0.3010  7 Co 2.28-2.36
Co 0.4009 0.4009 0.7972  3 Be 2.29, 1 Si 2.31
Co 0.8682 0.8682 0.3955  4 Be 2.28-2.36, 3 Si 2.31
Co 0.1318 0.1318 0.6045  4 Be 2.28-2.36, 3 Si 2.31
Co 0.5991 0.5991 0.2028  3 Be 2.29, 1 Si 2.31
Si 0.5000 0.5000 0.5000  8 Co 2.31


Number 7 is which compound?
Pa2Be4CoSi3